(1)
Computed, not measured: TaCu2Ir after structural relaxation at the GGA-PBEsol level of DFT.

a b c (Å): 2.7475 4.5533 5.2236
angles (deg): 115.18 104.24 92.25
Element x y z (fractional)
Ir (0.0000, 0.5000, 0.0000)
Cu (0.5000, 0.5000, 0.5000)
Cu (0.0000, 0.0000, 0.5000)
Ta (0.5000, 0.0000, 0.0000)

Output
Relative energy among the computed polymorphs, meV per atom: 147.5
VASP energy, eV per atom: -7.6783
D(E_F), states/eV/f.u.: 2.504
Energy of formation, meV/atom: 82



(2)
Computed, not measured: CdSi2Tc after structural relaxation at the GGA-PBEsol level of DFT.

a b c (Å): 2.8531 2.8531 8.3721
angles (deg): 90.00 90.00 108.78
Element x y z (fractional)
Si (0.0000, 0.0000, 0.7098)
Si (0.0000, 0.0000, 0.2902)
Tc (0.5000, 0.5000, 0.5000)
Cd (0.5000, 0.5000, 0.0000)

Output
Formation energy (no corrections), meV/atom: 189
VASP energy, eV per atom: -5.7997
D(E_F), states/eV/f.u.: 2.104



(3)
Computed, not measured: SrLi2Au after structural relaxation at the GGA-PBEsol level of DFT.

a b c (Å): 4.4823 4.4823 5.9561
angles (deg): 67.90 67.90 60.00
Element x y z (fractional)
Sr (0.5000, 0.5000, 0.5000)
Li (0.7003, 0.7003, 0.8992)
Li (0.2997, 0.2997, 0.1008)
Au (0.0000, 0.0000, 0.0000)

Output
Relative energy among the computed polymorphs, meV per atom: 74.1
VASP energy, eV per atom: -2.7300
D(E_F), states/eV/f.u.: 2.470
Energy of formation, meV/atom: -306



(4)
Computed, not measured: ScBe2 after structural relaxation at the GGA-PBEsol level of DFT.

a b c (Å): 4.7544 4.7544 15.4417
angles (deg): 90.00 90.00 120.00
Element x y z (fractional)
Be (0.0000, 0.5000, 0.0000)
Be (0.5000, 0.5000, 0.5000)
Be (0.3333, 0.6667, 0.8727)
Be (0.3333, 0.6667, 0.6273)
Be (0.5000, 0.0000, 0.0000)
Be (0.1683, 0.8317, 0.7500)
Be (0.5000, 0.0000, 0.5000)
Be (0.6633, 0.8317, 0.7500)
Be (0.1683, 0.3367, 0.7500)
Be (0.3367, 0.1683, 0.2500)
Be (0.6667, 0.3333, 0.1273)
Be (0.8317, 0.1683, 0.2500)
Be (0.8317, 0.6633, 0.2500)
Be (0.6667, 0.3333, 0.3727)
Be (0.5000, 0.5000, 0.0000)
Be (0.0000, 0.5000, 0.5000)
Sc (0.0000, 0.0000, 0.9061)
Sc (0.3333, 0.6667, 0.1560)
Sc (0.0000, 0.0000, 0.5939)
Sc (0.0000, 0.0000, 0.0939)
Sc (0.6667, 0.3333, 0.6560)
Sc (0.6667, 0.3333, 0.8440)
Sc (0.3333, 0.6667, 0.3440)
Sc (0.0000, 0.0000, 0.4061)

Output
VASP energy, eV per atom: -4.9517
D(E_F), states/eV/f.u.: 1.618
Energy of formation, meV/atom: -83



(5)
Computed, not measured: NbTl2Ge after structural relaxation at the GGA-PBEsol level of DFT.

a b c (Å): 5.0094 5.0094 5.0094
angles (deg): 60.00 60.00 60.00
Last column: magnetic moment on the atom in μB.
Element x y z (fractional)
Tl (0.7500, 0.7500, 0.7500)  0.03
Tl (0.2500, 0.2500, 0.2500)  0.03
Ge (0.0000, 0.0000, 0.0000)  -0.01
Nb (0.5000, 0.5000, 0.5000)  1.88

Output
VASP energy, eV per atom: -4.5527
D(E_F), states/eV/f.u.: 3.013
Energy of formation, meV/atom: 703



(6)
Computed, not measured: BaLiTl2 after structural relaxation at the GGA-PBEsol level of DFT.

a b c (Å): 4.8417 4.8417 6.7075
angles (deg): 68.84 68.84 60.00
Element x y z (fractional)
Li (0.5000, 0.5000, 0.5000)
Tl (0.7914, 0.7914, 0.6258)
Tl (0.2086, 0.2086, 0.3742)
Ba (0.0000, 0.0000, 0.0000)

Output
VASP energy, eV per atom: -2.6984
D(E_F), states/eV/f.u.: 3.438
Energy of formation, meV/atom: -354